# NaLiEuHg

An optimized crystal structure of NaLiEuHg (GGA-PBE, Alexandria via LeMat-Bulk).

Calculated values
DFT formation energy (eV/f.u.): -0.664
Crystal system: cubic

a b c (Å): 7.6644 7.6644 7.6644
angles (deg): 90.00 90.00 90.00
Space group F-43m (No. 216)
Asymmetric unit:
Na (0.0000, 0.0000, 0.0000) [4 per cell]
Li (0.2500, 0.2500, 0.7500) [4 per cell]
Eu (0.0000, 0.0000, 0.5000) [4 per cell]
Hg (0.2500, 0.2500, 0.2500) [4 per cell]

=====

# TePdI2O

An optimized crystal structure of TePdI2O (GGA-PBE, Alexandria via LeMat-Bulk).

Calculated values
Total energy (eV/atom): -3.08
Crystal system: tetragonal

a b c (Å): 5.7329 5.7329 3.8691
angles (deg): 90.00 90.00 90.00
Space group P4/mmm (No. 123)
Asymmetric unit:
Te (0.0000, 0.0000, 0.0000) [1 per cell]
Pd (0.5000, 0.5000, 0.5000) [1 per cell]
I (0.0000, 0.5000, 0.5000) [2 per cell]
O (0.5000, 0.5000, 0.0000) [1 per cell]

=====

# BaLi9Ag2

An optimized crystal structure of BaLi9Ag2 (GGA-PBE, Alexandria via LeMat-Bulk).

Calculated values
DFT formation energy (eV/f.u.): -1.076
Crystal system: tetragonal

a b c (Å): 11.6745 11.6745 7.7782
angles (deg): 90.00 90.00 90.00
Space group I4_1/amd (No. 141, origin choice 2)
Asymmetric unit:
Ba (0.0000, 0.2500, 0.3750) [4 per cell]
Li (0.0000, 0.2500, 0.8750) [4 per cell]
Li (0.1248, 0.0480, 0.7003) [32 per cell]
Ag (0.0000, 0.0000, 0.0000) [8 per cell]

=====

# SrThPt10

An optimized crystal structure of SrThPt10 (GGA-PBE, Alexandria via LeMat-Bulk).

Calculated values
DFT formation energy (eV/f.u.): -8.308
Crystal system: orthorhombic

a b c (Å): 4.4261 5.4708 9.4101
angles (deg): 90.00 90.00 90.00
Space group Pmmm (No. 47)
Asymmetric unit:
Sr (0.0000, 0.0000, 0.0000) [1 per cell]
Th (0.0000, 0.5000, 0.5000) [1 per cell]
Pt (0.0000, 0.0000, 0.3364) [2 per cell]
Pt (0.0000, 0.5000, 0.1723) [2 per cell]
Pt (0.5000, 0.0000, 0.5000) [1 per cell]
Pt (0.5000, 0.2542, 0.2560) [4 per cell]
Pt (0.5000, 0.5000, 0.0000) [1 per cell]

=====

# La2IrPdRh

An optimized crystal structure of La2IrPdRh (GGA-PBE, Alexandria via LeMat-Bulk).

Calculated values
DFT formation energy (eV/f.u.): 1.915
Crystal system: tetragonal

a b c (Å): 5.5026 5.5026 4.7047
angles (deg): 90.00 90.00 90.00
Space group P4/mmm (No. 123)
Asymmetric unit:
La (0.0000, 0.5000, 0.0000) [2 per cell]
Ir (0.0000, 0.0000, 0.5000) [1 per cell]
Pd (0.0000, 0.0000, 0.0000) [1 per cell]
Rh (0.5000, 0.5000, 0.5000) [1 per cell]

=====

# KSiAgAs2

An optimized crystal structure of KSiAgAs2 (GGA-PBE, Alexandria via LeMat-Bulk).

Calculated values
Total energy (eV/atom): -3.96
Crystal system: orthorhombic

a b c (Å): 6.1569 13.5503 6.8904
angles (deg): 90.00 90.00 90.00
Space group Cmme (No. 67)
Asymmetric unit:
K (0.0000, 0.2500, 0.2216) [4 per cell]
Si (0.2500, 0.0000, 0.0000) [4 per cell]
Ag (0.0000, 0.0000, 0.5000) [4 per cell]
As (0.0000, 0.0969, 0.8127) [8 per cell]

=====

# GeH

An optimized crystal structure of GeH (GGA-PBE, Alexandria via LeMat-Bulk).

Calculated values
Total energy (eV/atom): -3.65
Crystal system: orthorhombic

a b c (Å): 3.2794 4.3353 3.6197
angles (deg): 90.00 90.00 90.00
Space group Cmmm (No. 65)
Asymmetric unit:
Ge (0.0000, 0.0000, 0.0000) [2 per cell]
H (0.0000, 0.0000, 0.5000) [2 per cell]

=====

# CaPrNd

An optimized crystal structure of CaPrNd (GGA-PBE, Alexandria via LeMat-Bulk).

Calculated values
DFT formation energy (eV/f.u.): 0.069
Crystal system: tetragonal

a b c (Å): 3.7590 3.7590 15.9179
angles (deg): 90.00 90.00 90.00
Space group I4mm (No. 107)
Asymmetric unit:
Ca (0.0000, 0.0000, 0.0000) [2 per cell]
Pr (0.0000, 0.0000, 0.3250) [2 per cell]
Nd (0.0000, 0.0000, 0.6737) [2 per cell]

=====

# Na4PuSe4

An optimized crystal structure of Na4PuSe4 (GGA-PBE, Alexandria via LeMat-Bulk).

Calculated values
Total energy (eV/atom): -4.72
Crystal system: tetragonal

a b c (Å): 7.1157 7.1157 12.4853
angles (deg): 90.00 90.00 90.00
Space group I-42m (No. 121)
Asymmetric unit:
Na (0.0000, 0.0000, 0.2084) [4 per cell]
Na (0.0000, 0.5000, 0.0000) [4 per cell]
Pu (0.0000, 0.0000, 0.5000) [2 per cell]
Se (0.2222, 0.2222, 0.6202) [8 per cell]

=====

# Tl2CoW

An optimized crystal structure of Tl2CoW (GGA-PBE, Alexandria via LeMat-Bulk).

Calculated values
DFT formation energy (eV/f.u.): 2.664
Crystal system: trigonal

a b c (Å): 3.1167 3.1167 28.1505
angles (deg): 90.00 90.00 120.00
Space group R3m (No. 160, hexagonal axes)
Asymmetric unit:
Tl (0.0000, 0.0000, 0.0000) [3 per cell]
Tl (0.0000, 0.0000, 0.2299) [3 per cell]
Co (0.0000, 0.0000, 0.7471) [3 per cell]
W (0.0000, 0.0000, 0.4724) [3 per cell]

=====

# Sc3Pt2

An optimized crystal structure of Sc3Pt2 (GGA-PBE, Alexandria via LeMat-Bulk).

Calculated values
DFT formation energy (eV/f.u.): -4.547
Crystal system: orthorhombic

a b c (Å): 9.6752 14.4093 5.4674
angles (deg): 90.00 90.00 90.00
Space group Fdd2 (No. 43)
Asymmetric unit:
Sc (0.0000, 0.0000, 0.0000) [8 per cell]
Sc (0.0006, 0.3812, 0.9998) [16 per cell]
Pt (0.9996, 0.1908, 0.0003) [16 per cell]

=====

# DyPdPb2

An optimized crystal structure of DyPdPb2 (GGA-PBE, Alexandria via LeMat-Bulk).

Calculated values
DFT formation energy (eV/f.u.): -1.540
Crystal system: tetragonal

a b c (Å): 4.6409 4.6409 4.4968
angles (deg): 90.00 90.00 90.00
Space group P4/mmm (No. 123)
Asymmetric unit:
Dy (0.0000, 0.0000, 0.0000) [1 per cell]
Pd (0.5000, 0.5000, 0.0000) [1 per cell]
Pb (0.0000, 0.5000, 0.5000) [2 per cell]

=====

# ThNp3P4

An optimized crystal structure of ThNp3P4 (GGA-PBE, Alexandria via LeMat-Bulk).

Calculated values
DFT formation energy (eV/f.u.): -8.178
Crystal system: cubic

a b c (Å): 5.6874 5.6874 5.6874
angles (deg): 90.00 90.00 90.00
Space group Pm-3m (No. 221)
Asymmetric unit:
Th (0.0000, 0.0000, 0.0000) [1 per cell]
Np (0.0000, 0.5000, 0.5000) [3 per cell]
P (0.0000, 0.0000, 0.5000) [3 per cell]
P (0.5000, 0.5000, 0.5000) [1 per cell]

=====

# TaH2O

An optimized crystal structure of TaH2O (GGA-PBE, Alexandria via LeMat-Bulk).

Calculated values
Total energy (eV/atom): -6.03
Crystal system: cubic

a b c (Å): 4.8096 4.8096 4.8096
angles (deg): 90.00 90.00 90.00
Space group Fm-3m (No. 225)
Asymmetric unit:
Ta (0.0000, 0.0000, 0.0000) [4 per cell]
H (0.2500, 0.2500, 0.2500) [8 per cell]
O (0.0000, 0.0000, 0.5000) [4 per cell]

=====

# Tm4TlBi3

An optimized crystal structure of Tm4TlBi3 (GGA-PBE, Alexandria via LeMat-Bulk).

Calculated values
DFT formation energy (eV/f.u.): -4.570
Crystal system: orthorhombic

a b c (Å): 9.0327 12.4734 4.3298
angles (deg): 90.00 90.00 90.00
Space group Cmmm (No. 65)
Asymmetric unit:
Tm (0.0000, 0.2499, 0.0000) [4 per cell]
Tm (0.2472, 0.0000, 0.5000) [4 per cell]
Tl (0.0000, 0.5000, 0.0000) [2 per cell]
Bi (0.0000, 0.0000, 0.0000) [2 per cell]
Bi (0.2500, 0.2500, 0.5000) [4 per cell]

=====

# PmThSi2Rh5

An optimized crystal structure of PmThSi2Rh5 (GGA-PBE, Alexandria via LeMat-Bulk).

Calculated values
Total energy (eV/atom): -7.33
Crystal system: tetragonal

a b c (Å): 4.0616 4.0616 10.9748
angles (deg): 90.00 90.00 90.00
Space group P4/mmm (No. 123)
Asymmetric unit:
Pm (0.0000, 0.0000, 0.0000) [1 per cell]
Th (0.0000, 0.0000, 0.5000) [1 per cell]
Si (0.5000, 0.5000, 0.2101) [2 per cell]
Rh (0.0000, 0.5000, 0.3152) [4 per cell]
Rh (0.5000, 0.5000, 0.0000) [1 per cell]

=====

# ZrZn2Fe9

An optimized crystal structure of ZrZn2Fe9 (GGA-PBE, Alexandria via LeMat-Bulk).

Calculated values
DFT formation energy (eV/f.u.): 0.449
Crystal system: trigonal

a b c (Å): 4.8311 4.8311 23.2285
angles (deg): 90.00 90.00 120.00
Space group R-3m (No. 166, hexagonal axes)
Asymmetric unit:
Zr (0.0000, 0.0000, 0.0000) [3 per cell]
Zn (0.0000, 0.0000, 0.1418) [6 per cell]
Fe (0.0000, 0.0000, 0.3345) [6 per cell]
Fe (0.0000, 0.0000, 0.5000) [3 per cell]
Fe (0.0057, 0.5028, 0.9135) [18 per cell]

=====

# Mn2CoP

An optimized crystal structure of Mn2CoP (GGA-PBE, Alexandria via LeMat-Bulk).

Calculated values
DFT formation energy (eV/f.u.): -0.815
Crystal system: orthorhombic

a b c (Å): 3.6693 2.6081 9.2585
angles (deg): 90.00 90.00 90.00
Space group Amm2 (No. 38)
Asymmetric unit:
Mn (0.0000, 0.0000, 0.0000) [2 per cell]
Mn (0.5000, 0.0000, 0.3598) [2 per cell]
Co (0.0000, 0.0000, 0.7383) [2 per cell]
P (0.5000, 0.0000, 0.6101) [2 per cell]

=====

# Rb2FeBiI6

An optimized crystal structure of Rb2FeBiI6 (GGA-PBE, Alexandria via LeMat-Bulk).

Calculated values
Total energy (eV/atom): -3.00
Crystal system: tetragonal

a b c (Å): 8.4569 8.4569 12.0391
angles (deg): 90.00 90.00 90.00
Space group I4/mmm (No. 139)
Asymmetric unit:
Rb (0.0000, 0.5000, 0.2500) [4 per cell]
Fe (0.0000, 0.0000, 0.0000) [2 per cell]
Bi (0.0000, 0.0000, 0.5000) [2 per cell]
I (0.0000, 0.0000, 0.2371) [4 per cell]
I (0.2379, 0.2379, 0.0000) [8 per cell]

=====

# AlS2NCl6

An optimized crystal structure of AlS2NCl6 (GGA-PBE, Alexandria via LeMat-Bulk).

Calculated values
Total energy (eV/atom): -3.79
Crystal system: monoclinic

a b c (Å): 6.5604 13.5308 13.7631
angles (deg): 90.00 90.98 90.00
Space group P2_1/m (No. 11)
Asymmetric unit:
Al (0.0316, 0.2500, 0.4676) [2 per cell]
Al (0.1333, 0.7500, 0.0016) [2 per cell]
S (0.2401, 0.5235, 0.3477) [4 per cell]
S (0.3560, 0.0805, 0.1639) [4 per cell]
N (0.2555, 0.0422, 0.2568) [4 per cell]
Cl (0.0016, 0.2500, 0.1433) [2 per cell]
Cl (0.0396, 0.6200, 0.0798) [4 per cell]
Cl (0.0614, 0.2500, 0.6250) [2 per cell]
Cl (0.1316, 0.6177, 0.5766) [4 per cell]
Cl (0.3295, 0.2500, 0.4054) [2 per cell]
Cl (0.3856, 0.5032, 0.8632) [4 per cell]
Cl (0.4618, 0.7500, 0.9887) [2 per cell]
Cl (0.4868, 0.6139, 0.3589) [4 per cell]

=====

Number 1: total magnetization 30.102 Bohr magnetons per cell. Number 2: total magnetization 0.000 Bohr magnetons per cell. Number 3: total magnetization 0.000 Bohr magnetons per cell. Number 4: total magnetization 0.000 Bohr magnetons per cell. Number 5: total magnetization 0.000 Bohr magnetons per cell. Number 6: total magnetization 0.000 Bohr magnetons per cell. Number 7: total magnetization 0.000 Bohr magnetons per cell. Number 8: total magnetization 0.000 Bohr magnetons per cell. Number 9: total magnetization 8.000 Bohr magnetons per cell. Number 10: total magnetization 0.000 Bohr magnetons per cell. Number 11: total magnetization 3.087 Bohr magnetons per cell. Number 12: total magnetization 0.000 Bohr magnetons per cell. Number 13: total magnetization 11.266 Bohr magnetons per cell. Number 14: total magnetization 0.000 Bohr magnetons per cell. Number 15: total magnetization 0.000 Bohr magnetons per cell. Number 16: total magnetization 0.000 Bohr magnetons per cell. Number 17: total magnetization 52.899 Bohr magnetons per cell. Number 18: total magnetization 0.927 Bohr magnetons per cell. Number 19: total magnetization 6.294 Bohr magnetons per cell. Number 20: total magnetization 0.000 Bohr magnetons per cell.